No. 1
First-principles (PBE) data for a geometry-optimized Ce2Tm2Rh15 structure, as listed in the Alexandria database.

abc: 9.0781 9.0781 13.5541
angles: 90.00 90.00 120.00
Space group R-3m (No. 166, hexagonal axes)
Inequivalent atoms, fractional coordinates:
Ce 0.0000 0.0000 0.1415 [6 per cell]
Tm 0.0000 0.0000 0.3918 [6 per cell]
Rh 0.0000 0.3117 0.5000 [18 per cell]
Rh 0.0000 0.5000 0.0000 [9 per cell]
Rh 0.0076 0.5038 0.6550 [18 per cell]

Computed properties:
ΔH_f (0 K): -0.4049 eV per atom



No. 2
First-principles (PBE) data for a geometry-optimized Ho5Er4Zr2 structure, as listed in the Alexandria database.

abc: 8.561 3.426 11.222
angles: 90.00 93.64 90.00
Space group P2/m (No. 10)
Inequivalent atoms, fractional coordinates:
Ho 0.000 0.000 0.000 [1 per cell]
Ho 0.078 0.000 0.296 [2 per cell]
Ho 0.308 0.000 0.832 [2 per cell]
Er 0.229 0.500 0.551 [2 per cell]
Er 0.343 0.500 0.119 [2 per cell]
Zr 0.448 0.000 0.369 [2 per cell]

Computed properties:
ΔH_f (0 K): 0.1048 eV per atom



No. 3
First-principles (PBE) data for a geometry-optimized TcP2Os structure, as listed in the Alexandria database.

abc: 7.503 2.907 5.042
angles: 90.00 102.67 90.00
Space group C2/m (No. 12)
Inequivalent atoms, fractional coordinates:
Tc 0.000 0.000 0.000 [2 per cell]
P 0.249 0.500 0.248 [4 per cell]
Os 0.000 0.500 0.500 [2 per cell]

Computed properties:
ΔH_f (0 K): -0.1049 eV per atom



No. 4
First-principles (PBE) data for a geometry-optimized Pu2Ga3PbAu4 structure, as listed in the Alexandria database.

abc: 4.391 4.391 11.487
angles: 90.00 90.00 90.00
Space group P-4m2 (No. 115)
Inequivalent atoms, fractional coordinates:
Pu 0.000 0.500 0.230 [2 per cell]
Ga 0.000 0.500 0.876 [2 per cell]
Ga 0.500 0.500 0.500 [1 per cell]
Pb 0.000 0.000 0.500 [1 per cell]
Au 0.000 0.000 0.000 [1 per cell]
Au 0.000 0.500 0.659 [2 per cell]
Au 0.500 0.500 0.000 [1 per cell]

Computed properties:
ΔH_f (0 K): -0.3171 eV per atom



No. 5
First-principles (PBE) data for a geometry-optimized OsRu3Br structure, as listed in the Alexandria database.

abc: 4.458 4.458 4.458
angles: 90.00 90.00 90.00
Space group Pm-3m (No. 221)
Inequivalent atoms, fractional coordinates:
Os 0.000 0.000 0.000 [1 per cell]
Ru 0.000 0.500 0.500 [3 per cell]
Br 0.500 0.500 0.500 [1 per cell]

Computed properties:
formation energy from raw total energies: 2090.1 meV per atom



No. 6
First-principles (PBE) data for a geometry-optimized Y3ScZn structure, as listed in the Alexandria database.

abc: 5.481 5.481 5.481
angles: 90.00 90.00 90.00
Space group Pm-3m (No. 221)
Inequivalent atoms, fractional coordinates:
Y 0.000 0.000 0.500 [3 per cell]
Sc 0.000 0.000 0.000 [1 per cell]
Zn 0.500 0.500 0.500 [1 per cell]

Computed properties:
ΔH_f (0 K): 0.7470 eV per atom



Question: Which formula does entry 1 have?
Answer: Ce2Tm2Rh15



Question: What is the formula in the first record?
Answer: Ce2Tm2Rh15



Question: What is the formula in the second record?
Answer: Ho5Er4Zr2